No. 1
Below is a geometry-optimized RbBaZn structure, with properties calculated at the PBE-GGA level.

Cell and atoms, written as POSCAR:
```
RbBaZn
1.0
-2.142 2.142 8.100
2.142 -2.142 8.100
2.142 2.142 -8.100
Rb Ba Zn
1 1 1
direct
0.000 0.000 0.000 Rb
0.255 0.255 0.000 Ba
0.654 0.654 0.000 Zn
```

No. 2
Below is a geometry-optimized RbBaZr3 structure, with properties calculated at the PBE-GGA level.

Cell and atoms, written as POSCAR:
```
RbBaZr3
1.0
5.575 0.000 0.000
0.000 5.575 0.000
0.000 0.000 5.575
Rb Ba Zr
1 1 3
direct
0.000 0.000 0.000 Rb
0.500 0.500 0.500 Ba
0.000 0.500 0.500 Zr
0.500 0.000 0.500 Zr
0.500 0.500 0.000 Zr
```

No. 3
Below is a geometry-optimized Rb3BaZr structure, with properties calculated at the PBE-GGA level.

Cell and atoms, written as POSCAR:
```
Rb3BaZr
1.0
7.139 0.000 0.000
0.000 7.139 0.000
0.000 0.000 7.139
Rb Ba Zr
3 1 1
direct
0.000 0.000 0.500 Rb
0.000 0.500 0.000 Rb
0.500 0.000 0.000 Rb
0.500 0.500 0.500 Ba
0.000 0.000 0.000 Zr
```

No. 4
Below is a geometry-optimized Rb2BaZr structure, with properties calculated at the PBE-GGA level.

Cell and atoms, written as POSCAR:
```
Rb2BaZr
1.0
0.000 4.743 4.743
4.743 0.000 4.743
4.743 4.743 0.000
Rb Ba Zr
2 1 1
direct
0.250 0.250 0.250 Rb
0.750 0.750 0.750 Rb
0.000 0.000 0.000 Ba
0.500 0.500 0.500 Zr
```

No. 5
Below is a geometry-optimized RbBaZr2 structure, with properties calculated at the PBE-GGA level.

Cell and atoms, written as POSCAR:
```
RbBaZr2
1.0
-2.256 2.256 13.135
2.256 -2.256 13.135
2.256 2.256 -13.135
Rb Ba Zr
2 2 4
direct
0.000 0.000 0.000 Rb
0.750 0.250 0.500 Rb
0.250 0.750 0.500 Ba
0.500 0.500 0.000 Ba
0.128 0.625 0.003 Zr
0.375 0.378 0.503 Zr
0.622 0.125 0.997 Zr
0.875 0.872 0.497 Zr
```

No. 6
Below is a geometry-optimized RbBaZr2 structure, with properties calculated at the PBE-GGA level.

Cell and atoms, written as POSCAR:
```
RbBaZr2
1.0
0.000 4.099 4.099
4.099 0.000 4.099
4.099 4.099 0.000
Rb Ba Zr
1 1 2
direct
0.000 0.000 0.000 Rb
0.500 0.500 0.500 Ba
0.250 0.250 0.250 Zr
0.750 0.750 0.750 Zr
```

No. 7
Below is a geometry-optimized Rb3BaZr structure, with properties calculated at the PBE-GGA level.

Cell and atoms, written as POSCAR:
```
Rb3BaZr
1.0
7.383 0.000 0.000
0.000 7.383 0.000
0.000 0.000 7.383
Rb Ba Zr
3 1 1
direct
0.000 0.000 0.500 Rb
0.000 0.500 0.000 Rb
0.500 0.000 0.000 Rb
0.000 0.000 0.000 Ba
0.500 0.500 0.500 Zr
```

No. 8
Below is a geometry-optimized Rb2BaZr structure, with properties calculated at the PBE-GGA level.

Cell and atoms, written as POSCAR:
```
Rb2BaZr
1.0
-2.670 2.670 15.150
2.670 -2.670 15.150
2.670 2.670 -15.150
Rb Ba Zr
4 2 2
direct
0.112 0.625 0.987 Rb
0.375 0.362 0.487 Rb
0.638 0.125 0.013 Rb
0.875 0.888 0.513 Rb
0.250 0.750 0.500 Ba
0.500 0.500 0.000 Ba
0.000 0.000 0.000 Zr
0.750 0.250 0.500 Zr
```

Number 1: spin magnetization 0.000 μB/atom, energy relative to the elements 0.05 eV/atom, energy above the most stable polymorph in this dataset 120 meV per atom. Number 2: spin magnetization 0.180 μB/atom, energy relative to the elements 1.78 eV/atom, energy above the most stable polymorph in this dataset 0 meV per atom. Number 3: spin magnetization 0.933 μB/atom, energy relative to the elements 1.01 eV/atom, energy above the most stable polymorph in this dataset 0 meV per atom. Number 4: spin magnetization 0.797 μB/atom, energy relative to the elements 1.02 eV/atom, energy above the most stable polymorph in this dataset 52 meV per atom. Number 5: spin magnetization 0.189 μB/atom, energy relative to the elements 1.14 eV/atom, energy above the most stable polymorph in this dataset 0 meV per atom. Number 6: spin magnetization 0.000 μB/atom, energy relative to the elements 1.38 eV/atom, energy above the most stable polymorph in this dataset 233 meV per atom. Number 7: spin magnetization 1.003 μB/atom, energy relative to the elements 1.46 eV/atom, energy above the most stable polymorph in this dataset 454 meV per atom. Number 8: spin magnetization 0.730 μB/atom, energy relative to the elements 0.97 eV/atom, energy above the most stable polymorph in this dataset 0 meV per atom.